An optimized crystal structure of ThIn2PbBr8, computed with GGA-PBE.

Structure (POSCAR):
```
ThIn2PbBr8
1.0
7.6439 -0.1506 -0.0029
-0.1803 7.2253 -0.0094
0.0048 0.0104 9.0923
Th In Pb Br
1 2 1 8
direct
0.0000 0.0000 0.0000 Th
0.5000 0.4998 0.7400 In
0.5000 0.5002 0.2600 In
0.0000 0.0000 0.5000 Pb
0.1317 0.7726 0.2330 Br
0.6829 0.7891 0.9999 Br
0.8681 0.2272 0.2330 Br
0.8683 0.2274 0.7670 Br
0.3171 0.2109 0.0001 Br
0.1319 0.7728 0.7670 Br
0.6758 0.7484 0.5001 Br
0.3242 0.2516 0.4999 Br
```

Properties
**Formation energy from raw total energies**: -1160 meV/atom
**SG**: P2/m
**Magnetization**: 0.0 μB per cell